The following is a PBE calculation of a relaxed Tm3ScNi8 crystal, from Alexandria.

It has space group R3m (No. 160, hexagonal axes), with a = 4.9856 Å, b = 4.9856 Å, c = 24.5008 Å, α = 90.00°, β = 90.00° and γ = 120.00°. The asymmetric unit holds Tm at (0.0000, 0.0000, 0.0000), Tm at (0.0000, 0.0000, 0.1259), Tm at (0.0000, 0.0000, 0.5041), Sc at (0.0000, 0.0000, 0.6279), Ni at (0.0000, 0.0000, 0.3142), Ni at (0.0000, 0.0000, 0.8144), Ni at (0.0000, 0.5000, 0.5652) and Ni at (0.1670, 0.3341, 0.3968).

For the energy relative to the elements, the calculation gives -0.501 eV/atom. The crystal system is trigonal.


The following is a PBE calculation of a relaxed Tm2Sc2Ni3 crystal, from Alexandria.

It has space group P-1 (No. 2), with a = 4.5473 Å, b = 4.6333 Å, c = 7.1750 Å, α = 108.74°, β = 107.58° and γ = 90.06°. The asymmetric unit holds Tm at (0.1365, 0.1259, 0.2520), Sc at (0.3676, 0.3745, 0.7494), Ni at (0.0000, 0.5000, 0.0000) and Ni at (0.2428, 0.7458, 0.4938).

The energy above the most stable polymorph in this dataset is 11 meV per atom. For the energy relative to the elements, the calculation gives -0.351 eV/atom. The crystal system is triclinic.


The following is a PBE calculation of a relaxed TmSc3Ni4 crystal, from Alexandria.

It has space group P4/mmm (No. 123), with a = 4.5765 Å, b = 4.5765 Å, c = 6.3051 Å, α = 90.00°, β = 90.00° and γ = 90.00°. The asymmetric unit holds Tm at (0.0000, 0.0000, 0.0000), Sc at (0.0000, 0.0000, 0.5000), Sc at (0.5000, 0.5000, 0.0000), Sc at (0.5000, 0.5000, 0.5000) and Ni at (0.0000, 0.5000, 0.2596).

For the energy relative to the elements, the calculation gives -0.485 eV/atom. The crystal system is tetragonal.